[1]
Li4Nb3Ni3Sn2O16 | GGA+U | optimized geometry

Fermi-level density of states (states/eV per cell): 2.12

a b c (Å): 10.5942 6.0827 9.9463
angles (deg): 90.00 90.21 90.00
Closest atoms and distances in Å follow each position.
Space group Cm (No. 8)
Inequivalent atoms, fractional coordinates:
Li (0.0000, 0.0000, 0.0000)  4 O 1.88-2.04
Li (0.0197, 0.0000, 0.5155)  3 O 1.80-2.00
Li (0.1643, 0.5000, 0.0907)  4 O 1.93-2.08
Li (0.3369, 0.0000, 0.6106)  4 O 1.95-2.06
Nb (0.3259, 0.5000, 0.7796)  6 O 1.97-2.09
Nb (0.4080, 0.2398, 0.2845)  6 O 1.99-2.11
Ni (0.0828, 0.2563, 0.7866)  6 O 2.04-2.20
Ni (0.1643, 0.0000, 0.2833)  6 O 2.04-2.13
Sn (0.1540, 0.5000, 0.5169)  6 O 2.03-2.19
Sn (0.3201, 0.0000, 0.9950)  5 O 1.99-2.21
O (0.0158, 0.5000, 0.6574)  1 Li 1.95, 1 Sn 2.03, 2 Ni 2.09
O (0.0706, 0.2496, 0.3958)  1 Li 2.00, 1 Nb 2.05, 1 Sn 2.13, 1 Ni 2.13
O (0.1530, 0.0000, 0.9035)  1 Li 1.89, 1 Sn 1.99, 2 Ni 2.08
O (0.1763, 0.5000, 0.8966)  1 Li 1.93, 1 Nb 1.97, 2 Ni 2.09
O (0.2462, 0.2795, 0.6510)  1 Li 1.99, 1 Nb 2.03, 1 Sn 2.13, 1 Ni 2.20
O (0.2618, 0.2244, 0.1584)  1 Nb 1.99, 1 Li 2.08, 1 Ni 2.12, 1 Sn 2.21
O (0.3225, 0.5000, 0.3904)  2 Nb 2.11, 1 Sn 2.19
O (0.3289, 0.0000, 0.4036)  2 Nb 2.06, 1 Li 2.06, 1 Ni 2.11
O (0.4080, 0.2565, 0.8990)  1 Li 2.04, 1 Sn 2.05, 1 Nb 2.09, 1 Ni 2.17
O (0.4783, 0.0000, 0.1530)  1 Li 2.07, 2 Nb 2.10, 1 Sn 2.29
O (0.4932, 0.5000, 0.1884)  1 Li 1.88, 1 Ni 2.04, 2 Nb 2.06
O (0.4935, 0.5000, 0.6944)  1 Li 1.80, 1 Nb 1.97


[2]
Li4Nb3Ni3Te2O16 | GGA+U | optimized geometry

Fermi-level density of states (states/eV per cell): 5.00

a b c (Å): 10.7710 5.9948 10.4267
angles (deg): 90.00 90.53 90.00
Closest atoms and distances in Å follow each position.
Space group Cm (No. 8)
Inequivalent atoms, fractional coordinates:
Li (0.0000, 0.0000, 0.0000)  4 O 1.90-2.01
Li (0.0077, 0.0000, 0.5160)  4 O 1.93-2.11
Li (0.1604, 0.5000, 0.4227)  4 O 2.01-2.12
Li (0.3381, 0.0000, 0.9238)  4 O 1.99-2.05
Nb (0.3209, 0.5000, 0.7511)  4 O 1.90-1.99
Nb (0.4026, 0.2487, 0.2389)  5 O 1.88-2.09
Ni (0.0869, 0.2552, 0.7337)  6 O 2.03-2.17
Ni (0.1634, 0.0000, 0.2221)  6 O 2.06-2.16
Te (0.1421, 0.5000, 0.0119)  3 O 1.97-1.99
Te (0.3288, 0.0000, 0.5356)  3 O 1.97
O (0.0043, 0.0000, 0.3309)  1 Li 1.93, 1 Ni 2.06, 2 Nb 2.09
O (0.0201, 0.5000, 0.8697)  1 Te 1.97, 1 Li 2.05, 2 Ni 2.17
O (0.0673, 0.2491, 0.1088)  1 Te 1.99, 1 Li 2.01, 1 Ni 2.16
O (0.1665, 0.0000, 0.6208)  1 Te 1.97, 1 Li 2.02, 2 Ni 2.12
O (0.1807, 0.5000, 0.6252)  1 Nb 1.99, 2 Ni 2.12, 1 Li 2.12
O (0.2522, 0.2654, 0.8511)  1 Nb 1.90, 1 Li 1.99
O (0.2558, 0.2495, 0.3352)  1 Nb 1.88, 1 Li 2.04
O (0.3308, 0.0000, 0.1186)  1 Li 2.03, 2 Nb 2.09, 1 Ni 2.11
O (0.3564, 0.5000, 0.1140)  1 Li 1.96, 2 Nb 2.05
O (0.4167, 0.2482, 0.6209)  1 Te 1.97, 1 Li 2.11, 1 Ni 2.17
O (0.4870, 0.0000, 0.3485)  1 Li 2.01, 2 Nb 2.08
O (0.4944, 0.5000, 0.8175)  1 Li 1.90, 1 Nb 1.99, 2 Ni 2.03


[3]
Li4Ti3Nb2Ni3O16 | GGA+U | optimized geometry

Fermi-level density of states (states/eV per cell): 0.00

a b c (Å): 10.3642 5.9632 9.7999
angles (deg): 90.00 90.05 90.00
Closest atoms and distances in Å follow each position.
Space group Cm (No. 8)
Inequivalent atoms, fractional coordinates:
Li (0.0000, 0.0000, 0.0000)  4 O 1.86-1.97
Li (0.0015, 0.0000, 0.5093)  3 O 1.84-2.01
Li (0.1677, 0.5000, 0.0864)  4 O 1.96-2.06
Li (0.3354, 0.0000, 0.5918)  4 O 1.96-1.99
Ti (0.3237, 0.5000, 0.7610)  4 O 1.89-1.91
Ti (0.4050, 0.2486, 0.2751)  5 O 1.85-2.03
Nb (0.1482, 0.5000, 0.5076)  3 O 1.90-1.94
Nb (0.3347, 0.0000, 0.9943)  3 O 1.89-1.90
Ni (0.0884, 0.2532, 0.7864)  6 O 1.99-2.18
Ni (0.1685, 0.0000, 0.2859)  6 O 2.03-2.12
O (0.0200, 0.5000, 0.6462)  1 Nb 1.90, 1 Li 1.99
O (0.0815, 0.2507, 0.4018)  1 Nb 1.94, 1 Li 2.01, 1 Ni 2.08
O (0.1696, 0.0000, 0.9118)  1 Nb 1.89, 1 Li 1.96
O (0.1826, 0.5000, 0.8868)  1 Ti 1.91, 1 Li 1.96, 2 Ni 2.02
O (0.2505, 0.2807, 0.6458)  1 Ti 1.89, 1 Li 1.96
O (0.2657, 0.2293, 0.1573)  1 Ti 1.85, 1 Li 2.03
O (0.3355, 0.5000, 0.3930)  2 Ti 2.03, 1 Li 2.06, 1 Nb 2.24
O (0.3450, 0.0000, 0.3887)  2 Ti 1.96, 1 Li 1.99, 1 Ni 2.09
O (0.4158, 0.2466, 0.9060)  1 Nb 1.90, 1 Li 1.97
O (0.4820, 0.0000, 0.1623)  2 Ti 2.01, 1 Li 2.06, 1 Nb 2.24
O (0.4952, 0.5000, 0.1899)  1 Li 1.86, 2 Ti 1.95, 1 Ni 2.03
O (0.4962, 0.5000, 0.6970)  1 Li 1.84, 1 Ti 1.89, 2 Ni 1.99


[4]
Li4Nb2V3Ni3O16 | GGA+U | optimized geometry

a b c (Å): 10.2567 5.9927 9.7440
angles (deg): 90.00 90.74 90.00
Closest atoms and distances in Å follow each position.
Space group Cm (No. 8)
Inequivalent atoms, fractional coordinates:
Li (0.0000, 0.0000, 0.0000)  4 O 1.84-2.01
Li (0.0079, 0.0000, 0.4948)  4 O 1.84-1.98
Li (0.1705, 0.5000, 0.5826)  4 O 1.99-2.04
Li (0.3357, 0.0000, 0.0858)  4 O 1.97-1.98
Nb (0.1512, 0.5000, 0.0008)  5 O 1.91-2.12
Nb (0.3446, 0.0000, 0.4869)  3 O 1.90
V (0.3314, 0.5000, 0.2600)  4 O 1.85-1.93
V (0.4067, 0.2493, 0.7695)  5 O 1.82-2.04
Ni (0.0944, 0.2530, 0.2770)  6 O 2.00-2.14
Ni (0.1702, 0.0000, 0.7793)  6 O 2.01-2.13
O (0.0222, 0.5000, 0.1409)  1 Nb 1.91, 1 Li 1.98, 2 Ni 2.11
O (0.0788, 0.2504, 0.8930)  1 Nb 1.97, 1 Li 2.00, 1 Ni 2.09, 1 V 2.12
O (0.1758, 0.0000, 0.4038)  1 Nb 1.90, 1 Li 1.95, 2 Ni 2.12
O (0.1916, 0.5000, 0.3796)  1 V 1.86, 1 Li 1.99, 2 Ni 2.04
O (0.2524, 0.2833, 0.1375)  1 V 1.93, 1 Li 1.97, 1 Nb 2.12, 1 Ni 2.14
O (0.2690, 0.2305, 0.6500)  1 V 1.82, 1 Li 2.01
O (0.3354, 0.5000, 0.8853)  1 Li 2.01, 2 V 2.02, 1 Nb 2.21
O (0.3479, 0.0000, 0.8833)  2 V 1.96, 1 Li 1.98, 1 Ni 2.07
O (0.4224, 0.2477, 0.3973)  1 Nb 1.90, 1 Li 1.98, 1 Ni 2.13
O (0.4845, 0.0000, 0.6538)  1 Li 2.04, 2 V 2.04, 1 Nb 2.16
O (0.4958, 0.5000, 0.6834)  1 Li 1.84, 2 V 1.95, 1 Ni 2.01
O (0.4975, 0.5000, 0.1887)  1 Li 1.84, 1 V 1.85, 2 Ni 2.00


[5]
Li4Nb3V3Ni2O16 | GGA+U | optimized geometry

Fermi-level density of states (states/eV per cell): 8.53

a b c (Å): 10.5097 6.0850 9.8701
angles (deg): 90.00 90.30 90.00
Closest atoms and distances in Å follow each position.
Space group Cm (No. 8)
Inequivalent atoms, fractional coordinates:
Li (0.0000, 0.0000, 0.0000)  3 O 1.77-1.97
Li (0.0124, 0.0000, 0.5135)  4 O 1.83-1.98
Li (0.1788, 0.5000, 0.8883)  4 O 1.96-2.17
Li (0.3445, 0.0000, 0.4101)  4 O 1.95-2.05
Nb (0.0990, 0.2528, 0.2237)  6 O 1.97-2.05
Nb (0.1871, 0.0000, 0.7274)  6 O 2.01-2.07
V (0.3436, 0.5000, 0.2226)  6 O 2.03-2.12
V (0.4310, 0.2432, 0.7225)  6 O 2.01-2.09
Ni (0.1876, 0.5000, 0.5213)  3 O 2.02-2.05
Ni (0.3548, 0.0000, 0.9879)  6 O 2.08-2.29
O (0.0159, 0.0000, 0.3284)  1 Li 1.83
O (0.0185, 0.0000, 0.8218)  1 Li 1.77
O (0.0260, 0.5000, 0.3366)  2 Nb 2.03, 1 Li 2.04
O (0.0984, 0.2407, 0.6128)  1 Li 1.98, 1 Ni 2.05, 1 Nb 2.07, 1 V 2.07
O (0.1702, 0.0000, 0.1105)  2 Nb 2.04, 1 Li 2.09
O (0.1728, 0.5000, 0.1078)  2 Nb 2.04, 1 V 2.12, 1 Li 2.17
O (0.2516, 0.2729, 0.3399)  1 Nb 1.97, 1 Li 2.05, 1 V 2.05
O (0.2723, 0.2227, 0.8471)  1 Li 2.00, 1 Nb 2.01, 1 V 2.08, 1 Ni 2.12
O (0.3418, 0.0000, 0.6072)  1 Li 1.95, 1 Nb 2.02, 2 V 2.09
O (0.3582, 0.5000, 0.6172)  1 Li 1.92, 1 Ni 2.02, 2 V 2.02
O (0.4339, 0.2624, 0.1155)  1 Li 1.97, 1 V 2.03, 1 Nb 2.03, 1 Ni 2.19
O (0.4970, 0.0000, 0.8416)  1 Li 1.96, 2 V 2.01, 1 Ni 2.08


Number 1: total moment 13.93 μB per cell, total energy -6.664 eV/atom. Number 2: total moment 11.13 μB per cell, total energy -6.495 eV/atom. Number 3: total moment 12.00 μB per cell, total energy -7.274 eV/atom. Number 4: total moment 18.00 μB per cell, total energy -6.899 eV/atom. Number 5: total moment 19.59 μB per cell, total energy -7.245 eV/atom.